No. 1
Material: CuPb3S
Method: DFT, PBE-GGA
State: relaxed

The polymorph energy (0 for the lowest one) is 0.0 meV/atom. The total magnetization comes out at 0.00 μB/f.u. Its formation energy (no corrections) is 0.275 eV/atom.

Structure (POSCAR):
```
CuPb3S
1.0
5.213 0.000 0.000
0.000 5.213 0.000
0.000 0.000 5.213
Pb S Cu
3 1 1
direct
0.000 0.500 0.000 Pb
0.500 0.000 0.000 Pb
0.000 0.000 0.500 Pb
0.500 0.500 0.500 S
0.000 0.000 0.000 Cu
```

***

No. 2
Material: CuPbS2
Method: DFT, PBE-GGA
State: relaxed

The total magnetization comes out at 0.00 μB/f.u. Its formation energy (no corrections) is -0.249 eV/atom.

Structure (POSCAR):
```
CuPbS2
1.0
3.826 -0.546 -0.387
-0.534 3.826 0.376
-2.264 -1.007 6.236
Cu S Pb
1 2 1
direct
0.442 0.601 0.728 Cu
0.619 0.156 0.937 S
0.788 0.570 0.519 S
0.287 0.947 0.228 Pb
```

***

No. 3
Material: Cu2Pb3S4
Method: DFT, PBE-GGA
State: relaxed

The total magnetization comes out at 0.00 μB/f.u. Its formation energy (no corrections) is -0.351 eV/atom.

Structure (POSCAR):
```
Cu2Pb3S4
1.0
7.044 0.228 0.163
0.627 7.742 -0.420
0.627 2.096 7.464
S Cu Pb
8 4 6
direct
0.396 0.602 0.741 S
0.025 0.730 0.079 S
0.604 0.398 0.259 S
0.975 0.270 0.921 S
0.475 0.921 0.270 S
0.525 0.079 0.730 S
0.104 0.259 0.398 S
0.896 0.741 0.602 S
0.069 0.558 0.836 Cu
0.431 0.164 0.442 Cu
0.931 0.442 0.164 Cu
0.569 0.836 0.558 Cu
0.250 0.604 0.396 Pb
0.138 0.976 0.739 Pb
0.750 0.396 0.604 Pb
0.638 0.739 0.976 Pb
0.362 0.261 0.024 Pb
0.862 0.024 0.261 Pb
```

***

No. 4
Material: Cu2Pb2S3
Method: DFT, PBE-GGA
State: relaxed

The total magnetization comes out at 0.00 μB/f.u. Its formation energy (no corrections) is -0.283 eV/atom.

Structure (POSCAR):
```
Cu2Pb2S3
1.0
-6.332 3.110 1.636
-0.856 -4.760 5.734
-0.078 4.831 3.999
Pb S Cu
4 6 4
direct
0.405 0.831 0.817 Pb
0.095 0.331 0.183 Pb
0.905 0.669 0.817 Pb
0.595 0.169 0.183 Pb
0.716 0.110 0.663 S
0.000 0.000 0.000 S
0.784 0.610 0.337 S
0.500 0.500 0.000 S
0.216 0.390 0.663 S
0.284 0.890 0.337 S
0.584 0.382 0.605 Cu
0.084 0.118 0.605 Cu
0.416 0.618 0.395 Cu
0.916 0.882 0.395 Cu
```

***

No. 5
Material: Cu2Pb4S
Method: DFT, PBE-GGA
State: relaxed

The total magnetization comes out at 0.00 μB/f.u. Its formation energy (no corrections) is 0.318 eV/atom.

Structure (POSCAR):
```
Cu2Pb4S
1.0
5.513 0.000 0.000
0.000 5.513 0.000
2.757 2.757 6.706
Pb S Cu
4 1 2
direct
0.500 0.000 0.000 Pb
0.784 0.784 0.431 Pb
0.216 0.216 0.569 Pb
0.000 0.500 0.000 Pb
0.000 0.000 0.000 S
0.588 0.588 0.823 Cu
0.412 0.412 0.177 Cu
```

***

No. 6
Material: Cu2PbS
Method: DFT, PBE-GGA
State: relaxed

The total magnetization comes out at 0.00 μB/f.u. Its formation energy (no corrections) is 0.051 eV/atom.

Structure (POSCAR):
```
Cu2PbS
1.0
-1.835 -5.933 -0.220
0.568 -0.405 6.175
-4.871 -1.876 3.452
Pb Cu S
2 4 2
direct
0.750 0.250 0.500 Pb
0.000 0.000 0.000 Pb
0.199 0.625 0.250 Cu
0.875 0.801 0.750 Cu
0.551 0.125 0.250 Cu
0.375 0.449 0.750 Cu
0.250 0.750 0.500 S
0.500 0.500 0.000 S
```

***

No. 7
Material: CuPbS2
Method: DFT, PBE-GGA
State: relaxed

The total magnetization comes out at 0.00 μB/f.u. Its formation energy (no corrections) is 0.010 eV/atom.

Structure (POSCAR):
```
CuPbS2
1.0
-6.151 -5.242 -2.472
-3.415 -7.395 -2.254
-5.242 -6.601 0.610
Cu S Pb
1 2 1
direct
0.500 0.500 0.500 Cu
0.116 0.116 0.116 S
0.884 0.884 0.884 S
0.000 0.000 0.000 Pb
```

***

No. 8
Material: CuPbS2
Method: DFT, PBE-GGA
State: relaxed

The total magnetization comes out at 0.00 μB/f.u. Its formation energy (no corrections) is -0.171 eV/atom.

Structure (POSCAR):
```
CuPbS2
1.0
2.505 0.000 7.043
-1.252 2.169 7.043
-1.252 -2.169 7.043
S Cu Pb
2 1 1
direct
0.900 0.900 0.900 S
0.100 0.100 0.100 S
0.000 0.000 0.000 Cu
0.500 0.500 0.500 Pb
```

***

No. 9
Material: Cu8PbS6
Method: DFT, PBE-GGA
State: relaxed

The total magnetization comes out at 0.00 μB/f.u. Its formation energy (no corrections) is -0.162 eV/atom.

Structure (POSCAR):
```
Cu8PbS6
1.0
6.045 0.000 3.016
2.270 5.603 3.016
-0.330 -0.222 8.228
S Cu Pb
6 8 1
direct
0.081 0.423 0.739 S
0.919 0.577 0.261 S
0.757 0.081 0.739 S
0.243 0.919 0.261 S
0.577 0.243 0.261 S
0.423 0.757 0.739 S
0.893 0.370 0.569 Cu
0.630 0.831 0.431 Cu
0.433 0.433 0.700 Cu
0.107 0.630 0.431 Cu
0.169 0.893 0.569 Cu
0.831 0.107 0.431 Cu
0.567 0.567 0.300 Cu
0.370 0.169 0.569 Cu
0.000 0.000 0.000 Pb
```

***

No. 10
Material: Cu3PbS3
Method: DFT, PBE-GGA
State: relaxed

The total magnetization comes out at 0.00 μB/f.u. Its formation energy (no corrections) is -0.246 eV/atom.

Structure (POSCAR):
```
Cu3PbS3
1.0
3.687 0.000 0.000
0.000 8.586 -4.957
0.000 0.000 9.915
S Cu Pb
6 6 2
direct
0.250 0.601 0.865 S
0.750 0.865 0.264 S
0.250 0.264 0.399 S
0.250 0.135 0.736 S
0.750 0.736 0.601 S
0.750 0.399 0.135 S
0.250 0.303 0.988 Cu
0.250 0.685 0.697 Cu
0.750 0.697 0.012 Cu
0.250 0.012 0.315 Cu
0.750 0.988 0.685 Cu
0.750 0.315 0.303 Cu
0.250 0.667 0.333 Pb
0.750 0.333 0.667 Pb
```

***

No. 11
Material: CuPb2S2
Method: DFT, PBE-GGA
State: relaxed

The polymorph energy (0 for the lowest one) is 171.1 meV/atom. The total magnetization comes out at 0.00 μB/f.u. Its formation energy (no corrections) is 0.278 eV/atom.

Structure (POSCAR):
```
CuPb2S2
1.0
-1.088 0.077 -4.995
-2.680 -4.323 0.517
-6.557 0.901 -1.174
S Pb Cu
2 2 1
direct
0.750 0.250 0.500 S
0.250 0.750 0.500 S
0.647 0.647 0.705 Pb
0.353 0.353 0.295 Pb
0.000 0.000 0.000 Cu
```

***

No. 12
Material: Cu2PbS2
Method: DFT, PBE-GGA
State: relaxed

The total magnetization comes out at 0.00 μB/f.u. Its formation energy (no corrections) is -0.266 eV/atom.

Structure (POSCAR):
```
Cu2PbS2
1.0
-2.888 3.879 3.716
-4.321 0.830 -4.224
0.453 -6.928 2.578
Pb Cu S
2 4 4
direct
0.250 0.750 0.500 Pb
0.000 0.000 0.000 Pb
0.625 0.875 0.250 Cu
0.625 0.375 0.250 Cu
0.625 0.375 0.750 Cu
0.125 0.375 0.750 Cu
0.499 0.999 0.999 S
0.751 0.751 0.501 S
0.249 0.249 0.499 S
0.001 0.501 0.001 S
```

***

No. 13
Material: Cu2PbS2
Method: DFT, PBE-GGA
State: relaxed

The total magnetization comes out at 0.00 μB/f.u. Its formation energy (no corrections) is -0.227 eV/atom.

Structure (POSCAR):
```
Cu2PbS2
1.0
6.510 0.394 -0.006
-1.838 6.258 -0.006
-2.331 -3.318 4.633
S Cu Pb
4 4 2
direct
0.173 0.327 0.750 S
0.422 0.078 0.250 S
0.827 0.673 0.250 S
0.578 0.922 0.750 S
0.482 0.734 0.968 Cu
0.518 0.266 0.032 Cu
0.234 0.982 0.468 Cu
0.766 0.018 0.532 Cu
0.125 0.375 0.250 Pb
0.875 0.625 0.750 Pb
```

***

No. 14
Material: CuPb2S2
Method: DFT, PBE-GGA
State: relaxed

The polymorph energy (0 for the lowest one) is 0.0 meV/atom. The total magnetization comes out at 0.00 μB/f.u. Its formation energy (no corrections) is 0.107 eV/atom.

Structure (POSCAR):
```
CuPb2S2
1.0
7.833 0.000 0.000
0.000 7.833 0.000
0.000 0.000 3.979
Pb S Cu
4 4 2
direct
0.159 0.341 0.000 Pb
0.659 0.159 0.000 Pb
0.341 0.841 0.000 Pb
0.841 0.659 0.000 Pb
0.664 0.836 0.500 S
0.336 0.164 0.500 S
0.836 0.336 0.500 S
0.164 0.664 0.500 S
0.000 0.000 0.000 Cu
0.500 0.500 0.000 Cu
```

***

No. 15
Material: CuPbS2
Method: DFT, PBE-GGA
State: relaxed

The total magnetization comes out at 0.00 μB/f.u. Its formation energy (no corrections) is -0.149 eV/atom.

Structure (POSCAR):
```
CuPbS2
1.0
-0.405 -3.492 -1.264
0.012 -2.866 2.395
-6.658 -1.599 1.033
S Pb Cu
2 1 1
direct
0.063 0.063 0.811 S
0.266 0.266 0.201 S
0.501 0.501 0.498 Pb
0.670 0.670 0.990 Cu
```

***

No. 16
Material: CuSbPbS3
Method: DFT, PBE-GGA
State: relaxed

The polymorph energy (0 for the lowest one) is 47.6 meV/atom. The total magnetization comes out at 0.00 μB/f.u. Its formation energy (no corrections) is -0.297 eV/atom.

Structure (POSCAR):
```
CuSbPbS3
1.0
-3.431 0.359 -1.841
-2.059 -8.061 2.266
-3.262 4.174 6.895
Pb Cu Sb S
2 2 2 6
direct
0.750 0.832 0.753 Pb
0.250 0.168 0.247 Pb
0.250 0.072 0.584 Cu
0.750 0.928 0.416 Cu
0.750 0.341 0.849 Sb
0.250 0.659 0.151 Sb
0.750 0.868 0.142 S
0.250 0.795 0.505 S
0.750 0.205 0.495 S
0.250 0.132 0.858 S
0.750 0.408 0.144 S
0.250 0.592 0.856 S
```

***

No. 17
Material: CuSbPbS3
Method: DFT, PBE-GGA
State: relaxed

The polymorph energy (0 for the lowest one) is 0.0 meV/atom. The total magnetization comes out at 0.00 μB/f.u. Its formation energy (no corrections) is -0.345 eV/atom.

Structure (POSCAR):
```
CuSbPbS3
1.0
-2.330 4.818 5.734
3.038 -5.248 5.645
7.992 4.265 -0.336
S Cu Pb Sb
12 4 4 4
direct
0.000 0.773 0.799 S
0.264 0.887 0.134 S
0.500 0.227 0.299 S
0.765 0.445 0.991 S
0.000 0.240 0.284 S
0.735 0.555 0.491 S
0.235 0.445 0.991 S
0.764 0.113 0.634 S
0.736 0.887 0.134 S
0.500 0.760 0.784 S
0.236 0.113 0.634 S
0.265 0.555 0.491 S
0.760 0.278 0.425 Cu
0.260 0.722 0.925 Cu
0.240 0.278 0.425 Cu
0.740 0.722 0.925 Cu
0.000 0.451 0.687 Pb
0.500 0.549 0.187 Pb
0.500 0.928 0.510 Pb
0.000 0.072 0.010 Pb
0.000 0.509 0.166 Sb
0.500 0.491 0.666 Sb
0.500 0.071 0.061 Sb
0.000 0.929 0.561 Sb
```

***

No. 18
Material: Sc3CuPb3S8
Method: DFT, PBE-GGA
State: relaxed

The total magnetization comes out at 0.00 μB/f.u. Its formation energy (no corrections) is -1.044 eV/atom.

Structure (POSCAR):
```
Sc3CuPb3S8
1.0
-4.369 4.648 -4.174
-1.767 -1.372 7.283
6.435 4.663 -1.544
Cu S Pb Sc
1 8 3 3
direct
0.000 0.000 0.500 Cu
0.765 0.530 0.295 S
0.236 0.970 0.706 S
0.764 0.030 0.294 S
0.235 0.470 0.705 S
0.266 0.030 0.294 S
0.737 0.475 0.712 S
0.263 0.525 0.288 S
0.734 0.970 0.706 S
0.000 0.500 0.000 Pb
0.500 0.500 0.000 Pb
0.000 0.000 0.000 Pb
0.500 0.500 0.500 Sc
0.500 0.000 0.500 Sc
0.000 0.500 0.500 Sc
```

***

No. 19
Material: Cu2SiPbS4
Method: DFT, PBE-GGA
State: relaxed

The polymorph energy (0 for the lowest one) is 29.2 meV/atom. The total magnetization comes out at 0.00 μB/f.u. Its formation energy (no corrections) is -0.442 eV/atom.

Structure (POSCAR):
```
Cu2SiPbS4
1.0
-2.567 1.429 5.265
-2.182 -5.602 0.447
6.139 0.796 -0.670
Pb S Cu Si
1 4 2 1
direct
0.001 0.001 0.001 Pb
0.447 0.844 0.291 S
0.156 0.156 0.709 S
0.553 0.553 0.709 S
0.844 0.447 0.291 S
0.250 0.750 0.500 Cu
0.750 0.250 0.500 Cu
0.500 0.500 0.000 Si
```

***

No. 20
Material: Cu2SiPbS4
Method: DFT, PBE-GGA
State: relaxed

The polymorph energy (0 for the lowest one) is 0.0 meV/atom. The total magnetization comes out at 0.00 μB/f.u. Its formation energy (no corrections) is -0.472 eV/atom.

Structure (POSCAR):
```
Cu2SiPbS4
1.0
6.095 0.000 0.000
-3.048 5.279 0.000
0.000 0.000 15.252
Cu Si S Pb
6 3 12 3
direct
0.656 0.090 0.911 Cu
0.566 0.910 0.423 Cu
0.910 0.566 0.577 Cu
0.344 0.434 0.756 Cu
0.090 0.656 0.089 Cu
0.434 0.344 0.244 Cu
0.722 0.000 0.167 Si
0.000 0.722 0.833 Si
0.278 0.278 0.500 Si
0.903 0.229 0.501 S
0.493 0.973 0.056 S
0.507 0.480 0.611 S
0.097 0.326 0.165 S
0.326 0.097 0.835 S
0.229 0.903 0.499 S
0.480 0.507 0.389 S
0.520 0.027 0.278 S
0.027 0.520 0.722 S
0.771 0.674 0.168 S
0.674 0.771 0.832 S
0.973 0.493 0.944 S
0.526 0.000 0.667 Pb
0.000 0.526 0.333 Pb
0.474 0.474 0.000 Pb
```

***

No. 21
Material: CuSiPb2S4
Method: DFT, PBE-GGA
State: relaxed

The total magnetization comes out at 0.00 μB/f.u. Its formation energy (no corrections) is -0.441 eV/atom.

Structure (POSCAR):
```
CuSiPb2S4
1.0
-0.863 1.642 -6.116
-6.050 -1.547 -0.199
1.921 4.384 4.352
Cu Pb Si S
1 2 1 4
direct
0.984 0.499 0.047 Cu
0.395 0.201 0.433 Pb
0.441 0.123 0.921 Pb
0.720 0.715 0.486 Si
0.916 0.447 0.332 S
0.876 0.082 0.631 S
0.354 0.635 0.130 S
0.700 0.685 0.795 S
```

***

No. 22
Material: SmCuPbS3
Method: DFT, PBE-GGA
State: relaxed

The total magnetization comes out at 0.00 μB/f.u. Its formation energy (no corrections) is -1.078 eV/atom.

Structure (POSCAR):
```
SmCuPbS3
1.0
3.970 0.000 0.000
0.000 8.403 0.182
0.000 -2.062 8.451
S Sm Cu Pb
6 2 2 2
direct
0.750 0.432 0.162 S
0.750 0.209 0.505 S
0.250 0.105 0.860 S
0.750 0.895 0.140 S
0.250 0.791 0.495 S
0.250 0.568 0.838 S
0.750 0.329 0.826 Sm
0.250 0.671 0.174 Sm
0.250 0.082 0.583 Cu
0.750 0.918 0.417 Cu
0.750 0.818 0.770 Pb
0.250 0.182 0.230 Pb
```